(1)
Entry from Alexandria: a geometry-optimized LuSc2Sn structure (PBE-GGA).

Properties
spin magnetization: 1.6 μB/f.u.
formation energy from the elements: -0.400 eV/atom

Cell: 4.583 4.583 4.587 Å, 90.00 90.00 90.00°
Fractional positions:
Lu 0.000 0.000 0.000
Sc 0.000 0.500 0.500
Sc 0.500 0.000 0.500
Sn 0.500 0.500 0.000



(2)
Entry from Alexandria: a geometry-optimized TbLuScSn structure (PBE-GGA).

Properties
spin magnetization: 0.0 μB/f.u.
formation energy from the elements: -0.229 eV/atom

Cell: 5.250 5.250 5.250 Å, 60.00 60.00 60.00°
Fractional positions:
Tb 0.000 0.000 0.000
Lu 0.750 0.750 0.750
Sc 0.500 0.500 0.500
Sn 0.250 0.250 0.250



(3)
Entry from Alexandria: a geometry-optimized LuScTcSn structure (PBE-GGA).

Properties
spin magnetization: 0.0 μB/f.u.
formation energy from the elements: -0.334 eV/atom

Cell: 4.873 4.873 4.873 Å, 60.00 60.00 60.00°
Fractional positions:
Lu 0.000 0.000 0.000
Sc 0.500 0.500 0.500
Tc 0.750 0.750 0.750
Sn 0.250 0.250 0.250



(4)
Entry from Alexandria: a geometry-optimized LuScTlSn structure (PBE-GGA).

Properties
spin magnetization: 0.0 μB/f.u.
formation energy from the elements: -0.351 eV/atom

Cell: 5.187 5.187 5.187 Å, 60.00 60.00 60.00°
Fractional positions:
Lu 0.000 0.000 0.000
Sc 0.500 0.500 0.500
Tl 0.750 0.750 0.750
Sn 0.250 0.250 0.250